Compound: MgCo4O8
Source: Alexandria via LeMat-Bulk
Functional: PBE with a Hubbard U
Structure: relaxed

abc: 5.731 5.731 5.731
angles: 60.00 60.00 60.00
Last column: magnetic moment on the atom in μB.
Fractional coordinates of all 13 atoms:
1 O 0.857 0.857 0.429  0.09
2 O 0.429 0.857 0.857  0.09
3 O 0.390 0.831 0.390  0.02
4 O 0.831 0.390 0.390  0.02
5 O 0.857 0.429 0.857  0.09
6 O 0.390 0.390 0.831  0.02
7 O 0.857 0.857 0.857  0.09
8 O 0.390 0.390 0.390  0.02
9 Co 0.121 0.626 0.626  0.37
10 Co 0.626 0.121 0.626  0.37
11 Co 0.626 0.626 0.626  0.37
12 Co 0.626 0.626 0.121  0.37
13 Mg 0.250 0.250 0.250  0.00

Distance to the lowest polymorph of the same formula in meV/atom: 11.1
Total energy in eV per atom: -5.8337
Spin magnetization in μB/f.u.: 2.01
Volume in Å³/cell: 133.1